# Sc2Zn3Ge3

A relaxed structure of Sc2Zn3Ge3 (PBE-GGA, Alexandria).

Geometry as extended XYZ:
```
8
Lattice="4.096 0.000 0.000 0.000 4.227 0.000 0.000 0.000 7.906" Properties=species:S:1:pos:R:3 pbc="T T T"
Ge 0.000 2.114 3.953
Ge 2.048 0.000 3.953
Ge 2.048 0.000 0.000
Zn 2.048 2.114 6.021
Zn 0.000 2.114 0.000
Zn 2.048 2.114 1.884
Sc 0.000 0.000 2.027
Sc 0.000 0.000 5.879
```

Properties
D(E_F)	2.897	states/eV per cell
E_form	-0.4032	eV/atom